# GGA-PBE LiMgTc2, relaxed
# Volume, Å³ per atom: 15.1
# Magnetic moment, μB/atom: 0.000
# Crystal system: tetragonal
# DFT total energy, eV/atom: -5.6170
data_LiMgTc2
_chemical_formula_sum 'Li1 Mg1 Tc2'
_cell_length_a 3.267
_cell_length_b 3.267
_cell_length_c 5.649
_cell_angle_alpha 90.00
_cell_angle_beta 90.00
_cell_angle_gamma 90.00
_space_group_name_H-M_alt 'P 1'
_space_group_IT_number 1
_space_group_name_Hall 'P 1'
loop_
_atom_site_label
_atom_site_fract_x
_atom_site_fract_y
_atom_site_fract_z
Li1 0.000 0.000 0.000
Mg1 0.000 0.000 0.500
Tc1 0.500 0.500 0.197
Tc2 0.500 0.500 0.803